This record from the Alexandria database describes crystalline Pr8CdPd2 at its relaxed geometry. The functional is PBE.

The theoretical density comes out at 6909 kg/m3. The calculation puts the total energy at -4.73 eV per atom. The calculation puts the polymorph energy (0 for the lowest one) at 78.2 meV/atom. The energy of formation from the pure elements comes out at -0.23 eV/atom.

```
Pr8CdPd2
1.0
4.4650 -7.0717 0.0000
4.4650 7.0717 0.0000
-1.6174 0.0000 5.5280
Pr Cd Pd
8 1 2
Direct
0.0000 0.0000 0.0000
0.0643 0.3091 0.6156
0.1536 0.6382 0.1903
0.3091 0.0643 0.6156
0.4781 0.7223 0.7677
0.6382 0.1536 0.1903
0.7223 0.4781 0.7677
0.7861 0.7861 0.3809
0.3928 0.3928 0.1915
0.0909 0.6921 0.6876
0.6921 0.0909 0.6876
```

This record from the Alexandria database describes crystalline Li2TmHg7 at its relaxed geometry. The functional is PBE.

The theoretical density comes out at 11000 kg/m3. The calculation puts the total energy at -1.25 eV per atom. The energy of formation from the pure elements comes out at -0.21 eV/atom.

```
Li2TmHg7
1.0
4.9608 0.0000 0.0000
-2.4804 4.2962 0.0000
0.0000 0.0000 11.2403
Li Tm Hg
2 1 7
Direct
0.0000 0.0000 0.0000
0.3333 0.6667 0.5805
0.6667 0.3333 0.3725
0.0000 0.0000 0.2354
0.0000 0.0000 0.5049
0.0000 0.0000 0.7672
0.3333 0.6667 0.2955
0.3333 0.6667 0.9130
0.6667 0.3333 0.0833
0.6667 0.3333 0.6455
```

This record from the Alexandria database describes crystalline AcTb5Ho12 at its relaxed geometry. The functional is PBE.

The theoretical density comes out at 8698 kg/m3. The calculation puts the total energy at -4.54 eV per atom. The energy of formation from the pure elements comes out at 0.03 eV/atom.

```
AcTb5Ho12
1.0
9.2345 -5.3365 0.0000
9.2345 5.3365 0.0000
-2.0351 0.0000 5.8128
Ac Tb Ho
1 5 12
Direct
0.0000 0.0000 0.0000
0.1688 0.1688 0.5067
0.3330 0.3330 0.9999
0.5000 0.5000 0.5000
0.6670 0.6670 0.0001
0.8312 0.8312 0.4933
0.9997 0.3383 0.0027
0.0003 0.6617 0.9973
0.1667 0.4998 0.5006
0.1715 0.8285 0.5000
0.3367 0.6633 0.0000
0.3383 0.9997 0.0027
0.4998 0.1667 0.5006
0.5002 0.8333 0.4994
0.6617 0.0003 0.9973
0.6633 0.3367 0.0000
0.8285 0.1715 0.5000
0.8333 0.5002 0.4994
```

This record from the Alexandria database describes crystalline YTa2Mn at its relaxed geometry. The functional is PBE.

The theoretical density comes out at 8051 kg/m3. The calculation puts the total energy at -8.64 eV per atom. The calculation puts the polymorph energy (0 for the lowest one) at 989.3 meV/atom. The energy of formation from the pure elements comes out at 1.19 eV/atom.

```
YTa2Mn
1.0
-2.4644 2.4644 8.5875
2.4644 -2.4644 8.5875
2.4644 2.4644 -8.5875
Y Ta Mn
2 4 2
Direct
0.3750 0.6250 0.7500
0.6250 0.3750 0.2500
0.0000 0.0000 0.0000
0.0000 0.0000 0.5000
0.0000 0.5000 0.0000
0.5000 0.0000 0.5000
0.1250 0.8750 0.2500
0.8750 0.1250 0.7500
```

This record from the Alexandria database describes crystalline ScP2Ir at its relaxed geometry. The functional is PBE.

The theoretical density comes out at 7911 kg/m3. The calculation puts the total energy at -6.91 eV per atom. The calculation puts the polymorph energy (0 for the lowest one) at 466.7 meV/atom. The energy of formation from the pure elements comes out at -0.41 eV/atom.

```
ScP2Ir
1.0
1.9128 -2.5137 0.0000
1.9128 2.5137 0.0000
0.0000 0.0000 6.5287
Sc P Ir
1 2 1
Direct
0.0000 0.0000 0.0000
0.5000 0.5000 0.2710
0.5000 0.5000 0.7290
0.0000 0.0000 0.5000
```

This record from the Alexandria database describes crystalline Na3MnCu at its relaxed geometry. The functional is PBE.

The theoretical density comes out at 1721 kg/m3. The calculation puts the total energy at -2.39 eV per atom. The calculation puts the polymorph energy (0 for the lowest one) at 298.6 meV/atom. The energy of formation from the pure elements comes out at 1.05 eV/atom.

```
Na3MnCu
1.0
5.6557 0.0000 0.0000
0.0000 5.6557 0.0000
0.0000 0.0000 5.6557
Na Mn Cu
3 1 1
Direct
0.0000 0.0000 0.5000
0.0000 0.5000 0.0000
0.5000 0.0000 0.0000
0.0000 0.0000 0.0000
0.5000 0.5000 0.5000
```

This record from the Alexandria database describes crystalline Pr4Ni2Cl3 at its relaxed geometry. The functional is PBE.

As for the uncorrected formation energy: -1113 meV per atom. The theoretical density comes out at 5116 kg/m3. The calculation puts the total energy at -5.14 eV per atom.

```
Pr4Ni2Cl3
1.0
3.5062 -2.0248 0.0000
3.5062 2.0248 0.0000
-0.0135 0.0000 17.9993
Pr Ni Cl
4 2 3
Direct
0.0023 0.0023 0.3034
0.3362 0.3362 0.1236
0.6638 0.6638 0.8764
0.9977 0.9977 0.6966
0.3306 0.3306 0.7921
0.6694 0.6694 0.2079
0.0000 0.0000 0.0000
0.3355 0.3355 0.4019
0.6645 0.6645 0.5981
```

This record from the Alexandria database describes crystalline Tb3PrB4O12 at its relaxed geometry. The functional is PBE.

As for the uncorrected formation energy: -3065 meV per atom. The theoretical density comes out at 5444 kg/m3. The calculation puts the total energy at -8.31 eV per atom.

```
Tb3PrB4O12
1.0
5.1097 2.9501 2.8766
-5.1097 2.9501 2.8766
0.0000 -5.9002 2.8766
Tb Pr B O
3 1 4 12
Direct
0.0000 0.5345 0.4655
0.4655 0.0000 0.5345
0.5345 0.4655 0.0000
0.0000 0.0000 0.0000
0.0356 0.5000 0.9644
0.5000 0.5000 0.5000
0.5000 0.9644 0.0356
0.9644 0.0356 0.5000
0.0273 0.6340 0.8263
0.0995 0.9005 0.5000
0.1737 0.3660 0.9727
0.3648 0.6352 0.5000
0.3660 0.9727 0.1737
0.5000 0.0995 0.9005
0.5000 0.3648 0.6352
0.6340 0.8263 0.0273
0.6352 0.5000 0.3648
0.8263 0.0273 0.6340
0.9005 0.5000 0.0995
0.9727 0.1737 0.3660
```

This record from the Alexandria database describes crystalline ZrMnSb2 at its relaxed geometry. The functional is PBE.

As for the uncorrected formation energy: -108 meV per atom. The theoretical density comes out at 7502 kg/m3. The calculation puts the total energy at -6.60 eV per atom.

```
ZrMnSb2
1.0
-2.0784 2.0784 4.9919
2.0784 -2.0784 4.9919
2.0784 2.0784 -4.9919
Zr Mn Sb
1 1 2
Direct
0.0000 0.0000 0.0000
0.2500 0.7500 0.5000
0.5000 0.5000 0.0000
0.7500 0.2500 0.5000
```

This record from the Alexandria database describes crystalline La2InOs at its relaxed geometry. The functional is PBE.

The theoretical density comes out at 8572 kg/m3. The calculation puts the total energy at -5.92 eV per atom. The energy of formation from the pure elements comes out at 0.04 eV/atom.

```
La2InOs
1.0
-4.2983 4.2983 3.0558
4.2983 -4.2983 3.0558
4.2983 4.2983 -3.0558
La In Os
4 2 2
Direct
0.0540 0.1250 0.4290
0.3750 0.9460 0.0710
0.6960 0.6250 0.5710
0.8750 0.3040 0.9290
0.2500 0.7500 0.5000
0.5000 0.5000 0.0000
0.0000 0.0000 0.0000
0.7500 0.2500 0.5000
```